5
Lattice="3.640 0.000 0.000 1.820 6.317 0.144 1.820 1.831 6.048" Properties=species:S:1:pos:R:3 comment="Tm2Mg2Sc | the Alexandria database | PBE | optimized geometry" formation_enthalpy_0k_ev_per_atom=0.17 space_group="Immm, No. 71" pbc="T T T"
Sc 0.000 0.000 0.000
Mg 3.640 4.933 1.966
Mg 3.640 3.215 4.226
Tm 1.820 2.137 1.624
Tm 5.460 6.011 4.568



3
Lattice="-2.604 -2.839 -0.149 2.976 -2.560 -3.232 0.487 -0.711 5.011" Properties=species:S:1:pos:R:3 comment="CaPmGa | the Alexandria database | PBE | optimized geometry" formation_enthalpy_0k_ev_per_atom=-0.22 space_group="P3m1, No. 156" pbc="T T T"
Ga 0.428 -3.817 -0.583
Ca -2.448 -2.669 -0.141
Pm 0.275 -2.463 2.204



The evaluated E above lowest polymorph for the records listed, in turn: 0.205, 0.209 eV per atom.